! BeAlCo2, relaxed, DFT GGA-PBEsol; values from VASP
&SYSTEM
  ibrav = 0, nat = 4, ntyp = 3
/
ATOMIC_SPECIES
Be 9.01 Be.upf
Co 58.93 Co.upf
Al 26.98 Al.upf
CELL_PARAMETERS angstrom
3.3684 0.0000 0.0000
0.0000 3.3684 0.0000
-1.6842 -1.6842 3.6573
ATOMIC_POSITIONS crystal
Be 0.2500 0.7500 0.5000
Co 0.0000 0.0000 0.0000
Co 0.7500 0.2500 0.5000
Al 0.5000 0.5000 0.0000
! * crystal system: tetragonal
! * DFT formation energy: -0.8 eV/f.u.
! * V: 10.37 A^3/atom
! * raw total energy: -6.092 eV per atom

---

! Y2Co2Ag, relaxed, DFT GGA-PBEsol; values from VASP
&SYSTEM
  ibrav = 0, nat = 10, ntyp = 3
/
ATOMIC_SPECIES
Y 88.91 Y.upf
Co 58.93 Co.upf
Ag 107.87 Ag.upf
CELL_PARAMETERS angstrom
-2.6507 -1.9074 -1.9895
-3.4392 -1.2844 5.8135
-3.5681 5.8192 -0.8252
ATOMIC_POSITIONS crystal
Y 0.5000 0.1797 0.6797
Y 0.5000 0.6797 0.8203
Y 0.5000 0.8203 0.3203
Y 0.5000 0.3203 0.1797
Co 0.0000 0.3851 0.8851
Co 0.0000 0.8851 0.6149
Co 0.0000 0.6149 0.1149
Co 0.0000 0.1149 0.3851
Ag 0.0000 0.0000 0.0000
Ag 0.0000 0.5000 0.5000
! * crystal system: tetragonal
! * DFT formation energy: -0.9 eV/f.u.
! * V: 18.08 A^3/atom
! * raw total energy: -6.657 eV per atom

---

! MnZnMo2, relaxed, DFT GGA-PBEsol; values from VASP
&SYSTEM
  ibrav = 0, nat = 4, ntyp = 3
/
ATOMIC_SPECIES
Mn 54.94 Mn.upf
Mo 95.94 Mo.upf
Zn 65.41 Zn.upf
CELL_PARAMETERS angstrom
-1.9914 0.6999 1.5535
0.3479 -2.5590 0.4467
5.3927 1.7983 6.1024
ATOMIC_POSITIONS crystal
Mn 0.5000 0.5000 0.0000
Mo 0.0000 0.0000 0.2374
Mo 0.0000 0.0000 0.7626
Zn 0.5000 0.5000 0.5000
! * crystal system: orthorhombic
! * DFT formation energy: 0.6 eV/f.u.
! * V: 13.83 A^3/atom
! * raw total energy: -8.562 eV per atom

---

! CsTiP2O7, relaxed, DFT GGA-PBEsol; values from VASP
&SYSTEM
  ibrav = 0, nat = 44, ntyp = 4
/
ATOMIC_SPECIES
Cs 132.91 Cs.upf
Ti 47.87 Ti.upf
P 30.97 P.upf
O 16.00 O.upf
CELL_PARAMETERS angstrom
-5.2651 5.4340 -1.6386
-2.1089 -6.5834 -4.8142
-5.9661 -3.5349 7.4475
ATOMIC_POSITIONS crystal
Cs 0.8049 0.4544 0.6967
Cs 0.1951 0.0456 0.1967
Cs 0.1951 0.5456 0.3033
Cs 0.8049 0.9544 0.8033
Ti 0.7607 0.2412 0.0998
Ti 0.2393 0.2588 0.5998
Ti 0.2393 0.7588 0.9002
Ti 0.7607 0.7412 0.4002
P 0.5739 0.3169 0.3713
P 0.4261 0.1831 0.8713
P 0.4261 0.6831 0.6287
P 0.5739 0.8169 0.1287
P 0.8695 0.1682 0.4045
P 0.1305 0.3318 0.9045
P 0.1305 0.8318 0.5955
P 0.8695 0.6682 0.0955
O 0.3873 0.2705 0.4311
O 0.6127 0.2295 0.9311
O 0.6127 0.7295 0.5689
O 0.3873 0.7705 0.0689
O 0.5655 0.2672 0.2265
O 0.4345 0.2328 0.7265
O 0.4345 0.7328 0.7735
O 0.5655 0.7672 0.2735
O 0.6769 0.4940 0.3969
O 0.3231 0.0060 0.8969
O 0.3231 0.5060 0.6031
O 0.6769 0.9940 0.1031
O 0.6826 0.2043 0.4499
O 0.3174 0.2957 0.9499
O 0.3174 0.7957 0.5501
O 0.6826 0.7043 0.0501
O 0.9886 0.7336 0.5020
O 0.0114 0.7664 0.0020
O 0.0114 0.2664 0.4980
O 0.9886 0.2336 0.9980
O 0.9083 0.7327 0.2360
O 0.0917 0.7673 0.7360
O 0.0917 0.2673 0.7640
O 0.9083 0.2327 0.2640
O 0.8434 0.9844 0.4149
O 0.1566 0.5156 0.9149
O 0.1566 0.0156 0.5851
O 0.8434 0.4844 0.0851
! * crystal system: monoclinic
! * formation energy without anion corrections: -26.976 eV per formula unit
! * V: 14.58 A^3/atom
! * raw total energy: -7.688 eV per atom

---

! SiPtSe3, relaxed, DFT GGA-PBEsol; values from VASP
&SYSTEM
  ibrav = 0, nat = 5, ntyp = 3
/
ATOMIC_SPECIES
Si 28.09 Si.upf
Se 78.96 Se.upf
Pt 195.08 Pt.upf
CELL_PARAMETERS angstrom
4.8728 0.0000 0.0000
0.0000 4.8728 0.0000
0.0000 0.0000 4.8728
ATOMIC_POSITIONS crystal
Si 0.5000 0.5000 0.5000
Se 0.0000 0.5000 0.0000
Se 0.0000 0.0000 0.5000
Se 0.5000 0.0000 0.0000
Pt 0.0000 0.0000 0.0000
! * crystal system: cubic
! * formation energy without anion corrections: 3.139 eV per formula unit
! * V: 23.14 A^3/atom
! * raw total energy: -4.224 eV per atom

---

! Tm2MgOs, relaxed, DFT GGA-PBEsol; values from VASP
&SYSTEM
  ibrav = 0, nat = 4, ntyp = 3
/
ATOMIC_SPECIES
Mg 24.30 Mg.upf
Tm 168.93 Tm.upf
Os 190.23 Os.upf
CELL_PARAMETERS angstrom
-2.5604 -0.0012 4.1369
-1.1763 -4.2122 2.1315
2.1308 -1.2899 4.1792
ATOMIC_POSITIONS crystal
Mg 0.5000 0.5000 0.5000
Tm 0.2500 0.2500 0.2500
Tm 0.7500 0.7500 0.7500
Os 0.0000 0.0000 0.0000
! * crystal system: cubic
! * DFT formation energy: -0.8 eV/f.u.
! * V: 20.36 A^3/atom
! * raw total energy: -6.121 eV per atom

---

! BaAl4, relaxed, DFT GGA-PBEsol; values from VASP
&SYSTEM
  ibrav = 0, nat = 5, ntyp = 2
/
ATOMIC_SPECIES
Ba 137.33 Ba.upf
Al 26.98 Al.upf
CELL_PARAMETERS angstrom
-2.0638 3.3098 2.2759
-4.0168 -1.7053 -1.1623
3.0497 -3.9944 4.0942
ATOMIC_POSITIONS crystal
Ba 0.0000 0.0000 0.0000
Al 0.7500 0.2500 0.5000
Al 0.2500 0.7500 0.5000
Al 0.6182 0.6182 0.2363
Al 0.3818 0.3818 0.7637
! * crystal system: tetragonal
! * DFT formation energy: -1.2 eV/f.u.
! * V: 23.01 A^3/atom
! * raw total energy: -3.935 eV per atom

---

! Li2Ti3VO8, relaxed, DFT GGA-PBEsol; values from VASP
&SYSTEM
  ibrav = 0, nat = 56, ntyp = 4
/
ATOMIC_SPECIES
Li 6.94 Li.upf
Ti 47.87 Ti.upf
V 50.94 V.upf
O 16.00 O.upf
CELL_PARAMETERS angstrom
-4.3904 -4.1380 -5.7146
-4.5095 -3.5307 6.0211
-5.4263 6.2822 -0.3802
ATOMIC_POSITIONS crystal
Li 0.4961 0.4961 0.4961
Li 0.7539 0.7539 0.7539
Li 0.7461 0.2461 0.2539
Li 0.0039 0.5039 0.9961
Li 0.9961 0.0039 0.5039
Li 0.2539 0.7461 0.2461
Li 0.2461 0.2539 0.7461
Li 0.5039 0.9961 0.0039
Ti 0.6315 0.6185 0.1250
Ti 0.6250 0.8685 0.3815
Ti 0.6185 0.1250 0.6315
Ti 0.8815 0.8750 0.1315
Ti 0.8750 0.1315 0.8815
Ti 0.8685 0.3815 0.6250
Ti 0.1315 0.8815 0.8750
Ti 0.1250 0.6315 0.6185
Ti 0.1185 0.3750 0.3685
Ti 0.3815 0.6250 0.8685
Ti 0.3750 0.3685 0.1185
Ti 0.3685 0.1185 0.3750
V 0.6250 0.3750 0.8750
V 0.8750 0.6250 0.3750
V 0.1250 0.1250 0.1250
V 0.3750 0.8750 0.6250
O 0.6165 0.6158 0.8863
O 0.6137 0.3835 0.1158
O 0.6091 0.1091 0.3909
O 0.6342 0.6335 0.3637
O 0.6158 0.8863 0.6165
O 0.6409 0.8591 0.1409
O 0.6363 0.1342 0.8665
O 0.6335 0.3637 0.6342
O 0.8665 0.6363 0.1342
O 0.8637 0.8658 0.3665
O 0.8591 0.1409 0.6409
O 0.8842 0.1137 0.1165
O 0.8658 0.3665 0.8637
O 0.8909 0.8909 0.8909
O 0.8863 0.6165 0.6158
O 0.8835 0.3842 0.3863
O 0.1165 0.8842 0.1137
O 0.1137 0.1165 0.8842
O 0.1091 0.3909 0.6091
O 0.1342 0.8665 0.6363
O 0.1158 0.6137 0.3835
O 0.1409 0.6409 0.8591
O 0.1363 0.3658 0.1335
O 0.1335 0.1363 0.3658
O 0.3665 0.8637 0.8658
O 0.3637 0.6342 0.6335
O 0.3591 0.3591 0.3591
O 0.3842 0.3863 0.8835
O 0.3658 0.1335 0.1363
O 0.3909 0.6091 0.1091
O 0.3863 0.8835 0.3842
O 0.3835 0.1158 0.6137
! * crystal system: cubic
! * formation energy without anion corrections: -38.713 eV per formula unit
! * V: 10.25 A^3/atom
! * raw total energy: -8.517 eV per atom

---

! SiTcNi3, relaxed, DFT GGA-PBEsol; values from VASP
&SYSTEM
  ibrav = 0, nat = 5, ntyp = 3
/
ATOMIC_SPECIES
Ni 58.69 Ni.upf
Si 28.09 Si.upf
Tc 98.00 Tc.upf
CELL_PARAMETERS angstrom
-4.0432 0.7725 1.4741
-1.5068 -0.0553 -4.1041
-0.7064 -4.3032 0.3174
ATOMIC_POSITIONS crystal
Ni 0.0000 0.5000 0.0000
Ni 0.0000 0.0000 0.5000
Ni 0.5000 0.0000 0.0000
Si 0.5000 0.5000 0.5000
Tc 0.0000 0.0000 0.0000
! * crystal system: cubic
! * formation energy without anion corrections: 7.477 eV per formula unit
! * V: 16.72 A^3/atom
! * raw total energy: -5.602 eV per atom

---

! MgAsCl2, relaxed, DFT GGA-PBEsol; values from VASP
&SYSTEM
  ibrav = 0, nat = 4, ntyp = 3
/
ATOMIC_SPECIES
As 74.92 As.upf
Cl 35.45 Cl.upf
Mg 24.30 Mg.upf
CELL_PARAMETERS angstrom
3.1584 0.0000 0.0000
0.0000 5.3964 0.0000
-1.5792 -2.6982 5.8292
ATOMIC_POSITIONS crystal
As 0.5000 0.0000 0.0000
Cl 0.6528 0.6528 0.3057
Cl 0.3472 0.3472 0.6943
Mg 0.0000 0.5000 0.0000
! * crystal system: orthorhombic
! * formation energy without anion corrections: -2.228 eV per formula unit
! * V: 24.84 A^3/atom
! * raw total energy: -3.267 eV per atom

---

! YIrPb, relaxed, DFT GGA-PBEsol; values from VASP
&SYSTEM
  ibrav = 0, nat = 3, ntyp = 3
/
ATOMIC_SPECIES
Ir 192.22 Ir.upf
Pb 207.20 Pb.upf
Y 88.91 Y.upf
CELL_PARAMETERS angstrom
4.7313 0.0000 0.0000
2.3657 4.0975 0.0000
2.3657 1.3658 3.8631
ATOMIC_POSITIONS crystal
Ir 0.0000 0.0000 0.0000
Pb 0.5000 0.5000 0.5000
Y 0.2500 0.2500 0.2500
! * crystal system: cubic
! * DFT formation energy: 0.8 eV/f.u.
! * V: 24.96 A^3/atom
! * raw total energy: -6.606 eV per atom

---

! Te2Rh, relaxed, DFT GGA-PBEsol; values from VASP
&SYSTEM
  ibrav = 0, nat = 3, ntyp = 2
/
ATOMIC_SPECIES
Te 127.60 Te.upf
Rh 102.91 Rh.upf
CELL_PARAMETERS angstrom
3.9059 0.0000 0.0000
-1.9530 3.3826 0.0000
0.0000 0.0000 5.2829
ATOMIC_POSITIONS crystal
Te 0.3333 0.6667 0.2577
Te 0.6667 0.3333 0.7423
Rh 0.0000 0.0000 0.0000
! * crystal system: trigonal
! * formation energy without anion corrections: -1.230 eV per formula unit
! * V: 23.27 A^3/atom
! * raw total energy: -5.474 eV per atom